Entry w
Here is a relaxed structure of LiFe2OF3 from Alexandria via LeMat-Bulk. Energies are from PBE+U.

* symmetry: Pnma, No. 62

Geometry as POSCAR:
```
LiFe2OF3
1.0
10.740 0.000 0.000
0.000 6.147 0.000
0.000 0.000 4.994
Li Fe O F
4 8 4 12
Direct
0.090 0.250 0.052
0.410 0.750 0.552
0.590 0.250 0.448
0.910 0.750 0.948
0.000 0.000 0.500
0.000 0.500 0.500
0.213 0.750 0.950
0.287 0.250 0.450
0.500 0.000 0.000
0.500 0.500 0.000
0.713 0.750 0.550
0.787 0.250 0.050
0.061 0.750 0.729
0.439 0.250 0.229
0.561 0.750 0.771
0.939 0.250 0.271
0.118 0.250 0.686
0.167 0.011 0.227
0.167 0.489 0.227
0.333 0.511 0.727
0.333 0.989 0.727
0.382 0.750 0.186
0.618 0.250 0.814
0.667 0.011 0.273
0.667 0.489 0.273
0.833 0.511 0.773
0.833 0.989 0.773
0.882 0.750 0.314
```



Entry x
Here is a relaxed structure of LiFe2OF3 from Alexandria via LeMat-Bulk. Energies are from PBE+U.

* symmetry: Pnma, No. 62

Geometry as POSCAR:
```
LiFe2OF3
1.0
10.489 0.000 0.000
0.000 6.221 0.000
0.000 0.000 5.185
Li Fe O F
4 8 4 12
Direct
0.091 0.250 0.023
0.409 0.750 0.523
0.591 0.250 0.477
0.909 0.750 0.977
0.000 0.000 0.500
0.000 0.500 0.500
0.241 0.750 0.998
0.259 0.250 0.498
0.500 0.000 0.000
0.500 0.500 0.000
0.741 0.750 0.502
0.759 0.250 0.002
0.087 0.250 0.660
0.413 0.750 0.160
0.587 0.250 0.840
0.913 0.750 0.340
0.074 0.750 0.794
0.167 0.016 0.219
0.167 0.484 0.219
0.333 0.516 0.719
0.333 0.984 0.719
0.426 0.250 0.294
0.574 0.750 0.706
0.667 0.016 0.281
0.667 0.484 0.281
0.833 0.516 0.781
0.833 0.984 0.781
0.926 0.250 0.206
```



Entry y
Here is a relaxed structure of LiFe2OF3 from Alexandria via LeMat-Bulk. Energies are from PBE+U.

* symmetry: P-1, No. 2

Geometry as POSCAR:
```
LiFe2OF3
1.0
5.182 0.000 0.000
0.034 6.060 0.000
0.030 2.964 5.355
Li Fe O F
2 4 2 6
Direct
0.027 0.328 0.333
0.973 0.672 0.667
0.000 0.000 0.000
0.500 0.000 0.500
0.500 0.500 0.000
0.500 0.500 0.500
0.336 0.670 0.669
0.664 0.330 0.331
0.212 0.649 0.179
0.214 0.168 0.164
0.222 0.161 0.649
0.778 0.839 0.351
0.786 0.832 0.836
0.788 0.351 0.821
```



Least stable: entry y